## YNbAg2Se (PBE)

Data for a relaxed YNbAg2Se crystal.

Structure (CIF):
```
data_YNbAg2Se
_chemical_formula_sum 'Y1 Nb1 Ag2 Se1'
_cell_length_a 4.968
_cell_length_b 4.968
_cell_length_c 4.893
_cell_angle_alpha 90.00
_cell_angle_beta 90.00
_cell_angle_gamma 90.00
_symmetry_space_group_name_H-M 'P 4/m m m'
_symmetry_Int_Tables_number 123
_symmetry_space_group_name_Hall '-P 4 2'
loop_
_atom_site_label
_atom_site_type_symbol
_atom_site_fract_x
_atom_site_fract_y
_atom_site_fract_z
_atom_site_occupancy
Y1 Y 0.000 0.000 0.000 1
Nb1 Nb 0.500 0.500 0.000 1
Ag1 Ag 0.000 0.500 0.500 1
Se1 Se 0.500 0.500 0.500 1
```

Values from the calculation:
Calculated total energy = -23.81 eV/cell
Crystal system = tetragonal
D(E_F) = 5.67 states/eV/f.u.
V = 24.15 A^3/atom